[1]
DFT (PBE) results for crystalline ScOsSe4 at its relaxed geometry.

Output
- density of states at the Fermi level (states/eV/atom) = 0.920
- raw total energy (eV/atom) = -4.38
- ΔE_f (raw) (eV per atom) = 0.869
- space group = F-43m

a b c (Å): 5.5291 5.5291 5.5291
angles (deg): 60.00 60.00 60.00
With the nearest neighbours (Å) after each atom.
Fractional positions:
1 Sc 0.0000 0.0000 0.0000  12 Se 3.24, 4 Os 3.39
2 Os 0.2500 0.2500 0.2500  12 Se 3.24, 4 Sc 3.39
3 Se 0.1281 0.6240 0.6240  6 Se 2.74-2.79
4 Se 0.6240 0.1281 0.6240  6 Se 2.74-2.79
5 Se 0.6240 0.6240 0.1281  6 Se 2.74-2.79
6 Se 0.6240 0.6240 0.6240  6 Se 2.74-2.79

=====

[2]
DFT (PBE) results for crystalline MnTlCl at its relaxed geometry.

Output
- density of states at the Fermi level (states/eV/atom) = 1.287
- raw total energy (eV/atom) = -4.19
- ΔE_f (raw) (eV per atom) = 0.275
- space group = F-43m
- distance to the lowest polymorph of the same formula (meV per atom) = 440

a b c (Å): 4.8653 4.8653 4.8653
angles (deg): 60.00 60.00 60.00
With the nearest neighbours (Å) after each atom.
Fractional positions:
1 Mn 0.0000 0.0000 0.0000  4 Tl 2.98, 4 Cl 2.98
2 Tl 0.7500 0.7500 0.7500  4 Mn 2.98
3 Cl 0.2500 0.2500 0.2500  4 Mn 2.98

=====

[3]
DFT (PBE) results for crystalline MgZrIrPt at its relaxed geometry.

Output
- density of states at the Fermi level (states/eV/atom) = 0.388
- E_form (kJ/mol of formula units) = -324
- raw total energy (eV/atom) = -7.10
- space group = I-4m2
- distance to the lowest polymorph of the same formula (meV per atom) = 0

a b c (Å): 4.7409 4.7409 4.7409
angles (deg): 125.59 125.59 80.57
With the nearest neighbours (Å) after each atom.
Fractional positions:
1 Mg 0.0000 0.0000 0.0000  4 Ir 2.82, 4 Pt 2.82, 4 Zr 3.07
2 Zr 0.5000 0.5000 0.0000  4 Ir 2.82, 4 Pt 2.82, 4 Mg 3.07
3 Ir 0.7500 0.2500 0.5000  4 Zr 2.82, 4 Mg 2.82, 4 Pt 3.07
4 Pt 0.2500 0.7500 0.5000  4 Zr 2.82, 4 Mg 2.82, 4 Ir 3.07

=====

[4]
DFT (PBE) results for crystalline Mn4Fe5 at its relaxed geometry.

Output
- density of states at the Fermi level (states/eV/atom) = 0.913
- E_form (kJ/mol of formula units) = 100
- raw total energy (eV/atom) = -8.66
- space group = P6_3/mcm
- distance to the lowest polymorph of the same formula (meV per atom) = 16

a b c (Å): 6.8348 6.8348 4.8838
angles (deg): 90.00 90.00 120.00
With the nearest neighbours (Å) after each atom.
Fractional positions:
1 Mn 0.0000 0.0000 0.0000  8 Mn 2.44-2.57, 6 Fe 2.59
2 Mn 0.0000 0.0000 0.5000  8 Mn 2.44-2.57, 6 Fe 2.59
3 Mn 0.0000 0.3314 0.2500  5 Fe 2.28-2.44
4 Mn 0.0000 0.6686 0.7500  5 Fe 2.28-2.44
5 Mn 0.3314 0.0000 0.2500  5 Fe 2.28-2.44
6 Mn 0.3314 0.3314 0.7500  5 Fe 2.28-2.44
7 Mn 0.6686 0.0000 0.7500  5 Fe 2.28-2.44
8 Mn 0.6686 0.6686 0.2500  5 Fe 2.28-2.44
9 Fe 0.0000 0.3349 0.7500  5 Mn 2.28-2.44
10 Fe 0.0000 0.6651 0.2500  5 Mn 2.28-2.44
11 Fe 0.3333 0.6667 0.0000  8 Fe 2.44-2.58, 6 Mn 2.59
12 Fe 0.3333 0.6667 0.5000  8 Fe 2.44-2.58, 6 Mn 2.59
13 Fe 0.3349 0.0000 0.7500  5 Mn 2.28-2.44
14 Fe 0.3349 0.3349 0.2500  5 Mn 2.28-2.44
15 Fe 0.6651 0.0000 0.2500  5 Mn 2.28-2.44
16 Fe 0.6651 0.6651 0.7500  5 Mn 2.28-2.44
17 Fe 0.6667 0.3333 0.0000  8 Fe 2.44-2.58, 6 Mn 2.59
18 Fe 0.6667 0.3333 0.5000  8 Fe 2.44-2.58, 6 Mn 2.59

=====

[5]
DFT (PBE) results for crystalline TbErCo2 at its relaxed geometry.

Output
- density of states at the Fermi level (states/eV/atom) = 1.081
- E_form (kJ/mol of formula units) = -83
- raw total energy (eV/atom) = -6.07
- space group = Pmc2_1

a b c (Å): 3.8526 5.5198 7.4632
angles (deg): 90.00 90.00 90.00
With the nearest neighbours (Å) after each atom.
Fractional positions:
1 Tb 0.0000 0.1337 0.0000  7 Co 2.89-3.04
2 Tb 0.0000 0.8663 0.5000  7 Co 2.89-3.04
3 Er 0.5000 0.3669 0.6442  7 Co 2.85-3.09
4 Er 0.5000 0.6331 0.1442  7 Co 2.85-3.09
5 Co 0.0000 0.3546 0.3511  2 Co 2.26
6 Co 0.0000 0.6454 0.8511  2 Co 2.26
7 Co 0.5000 0.1542 0.2958  2 Co 2.26
8 Co 0.5000 0.8458 0.7958  2 Co 2.26

=====

[6]
DFT (PBE) results for crystalline Sr3Li2SbO6 at its relaxed geometry.

Output
- density of states at the Fermi level (states/eV/atom) = 0.110
- raw total energy (eV/atom) = -5.68
- ΔE_f (raw) (eV per atom) = -2.117
- space group = P-3m1

a b c (Å): 5.7837 5.7837 6.6019
angles (deg): 90.00 90.00 120.00
With the nearest neighbours (Å) after each atom.
Fractional positions:
1 Sr 0.0000 0.0000 0.0000  6 O 2.65
2 Sr 0.3333 0.6667 0.6273  9 O 2.67-2.91, 1 Li 2.79
3 Sr 0.6667 0.3333 0.3727  9 O 2.67-2.91, 1 Li 2.79
4 Li 0.3333 0.6667 0.2049  3 O 1.87
5 Li 0.6667 0.3333 0.7951  3 O 1.87
6 Sb 0.0000 0.0000 0.5000  6 O 2.02
7 O 0.1619 0.3238 0.3184  1 Li 1.87, 1 Sb 2.02
8 O 0.1619 0.8381 0.3184  1 Li 1.87, 1 Sb 2.02
9 O 0.3238 0.1619 0.6816  1 Li 1.87, 1 Sb 2.02
10 O 0.6762 0.8381 0.3184  1 Li 1.87, 1 Sb 2.02
11 O 0.8381 0.1619 0.6816  1 Li 1.87, 1 Sb 2.02
12 O 0.8381 0.6762 0.6816  1 Li 1.87, 1 Sb 2.02